A relaxed FeTeBrF2 crystal. Source: Alexandria, functional PBE with a Hubbard U.

abc: 4.396 5.836 4.396
angles: 90.00 90.00 90.00
Sites, in units of the cell vectors:
Br  0.000  0.000  0.000
Te  0.000  0.500  0.000
F  0.000  0.000  0.500
Fe  0.500  0.500  0.500
F  0.500  0.000  0.000

Uncorrected energy: -14.4 eV/cell
Size of the total moment: 3.72 μB/f.u.